Here is a relaxed structure of LiGdAg from the Alexandria database. Energies are from PBE.

```
3
Lattice="-0.580 -2.703 -2.110 -0.534 -2.813 3.751 -3.736 2.229 -1.828" Properties=species:S:1:pos:R:3 pbc="T T T"
Gd -3.055 -1.254 -1.375
Ag -0.096 -0.449 -0.351
Li -1.698 -1.584 1.539
```

Summary:
Energy   -0.4712 Ry/atom
Formation enthalpy at 0 K   -0.129 eV/atom
Size of the total moment   7.54 Bohr magnetons per cell
Offset from the most stable computed form   13 meV per atom